Compound: YEr2Tm4
Source: the Alexandria database
Functional: PBE
Structure: optimized geometry

Values from the calculation:
The formation energy is 0.12 eV per atom. The calculation puts the distance to the lowest polymorph of the same formula at 41 meV per atom. The volume comes out at 439 Å³ per cell.

The structure in extended XYZ format:
```
14
Lattice="9.215 -2.762 0.000 9.215 2.762 0.000 -5.840 0.000 8.632" Properties=species:S:1:pos:R:3 pbc="T T T"
Y 0.000 0.000 0.000
Y -0.654 0.000 5.951
Er 4.813 0.000 3.359
Er 6.324 0.000 6.624
Er 8.328 0.000 3.678
Er 12.246 0.000 2.138
Tm 1.293 0.000 3.311
Tm 3.524 0.000 0.123
Tm 3.006 0.000 6.342
Tm 6.987 0.000 0.617
Tm 10.846 0.000 5.474
Tm 8.998 0.000 8.242
Tm 14.106 0.000 5.425
Tm 15.986 0.000 2.674
```


Compound: PuThCdBi
Source: the Alexandria database
Functional: PBE
Structure: optimized geometry

Values from the calculation:
The formation energy is -0.14 eV per atom. The volume comes out at 116 Å³ per cell.

The structure in extended XYZ format:
```
4
Lattice="0.000 3.872 3.872 3.872 0.000 3.872 3.872 3.872 0.000" Properties=species:S:1:pos:R:3 pbc="T T T"
Pu 0.000 0.000 0.000
Th 3.872 3.872 3.872
Cd 5.807 5.807 5.807
Bi 1.936 1.936 1.936
```


Compound: CsAu
Source: the Alexandria database
Functional: PBE
Structure: optimized geometry

Values from the calculation:
The formation energy is -0.23 eV per atom. The calculation puts the distance to the lowest polymorph of the same formula at 106 meV per atom. The volume comes out at 139 Å³ per cell.

The structure in extended XYZ format:
```
2
Lattice="0.000 4.109 4.109 4.109 0.000 4.109 4.109 4.109 0.000" Properties=species:S:1:pos:R:3 pbc="T T T"
Cs 0.000 0.000 0.000
Au 6.163 6.163 6.163
```


Compound: HS
Source: the Alexandria database
Functional: PBE
Structure: optimized geometry

Values from the calculation:
The calculation puts the distance to the lowest polymorph of the same formula at 139 meV per atom. The volume comes out at 138 Å³ per cell.

The structure in extended XYZ format:
```
8
Lattice="-5.333 5.333 1.215 5.333 -5.333 1.215 5.333 5.333 -1.215" Properties=species:S:1:pos:R:3 pbc="T T T"
H 3.698 1.323 0.000
H 4.010 -1.635 1.215
H 1.323 6.968 0.000
H 1.635 4.010 1.215
S 2.636 0.475 0.000
S 4.858 -2.698 1.215
S 0.475 8.031 0.000
S 2.698 4.858 1.215
```


Compound: KLaAg2I6
Source: the Alexandria database
Functional: PBE
Structure: optimized geometry

Values from the calculation:
The value obtained for the uncorrected formation energy is -949 kJ/mol of formula units. The volume comes out at 935 Å³ per cell.

The structure in extended XYZ format:
```
20
Lattice="8.284 -7.232 0.000 8.284 7.232 0.000 -3.755 0.000 7.807" Properties=species:S:1:pos:R:3 pbc="T T T"
K 5.467 6.051 5.855
K 7.345 -6.051 1.952
La 7.345 3.205 1.952
La 5.467 -3.205 5.855
Ag 1.576 1.288 7.214
Ag 3.453 -1.288 3.311
Ag 9.359 1.288 4.496
Ag 11.236 -1.288 0.593
I -0.670 1.575 5.486
I 3.277 3.466 6.633
I 1.208 -1.575 1.583
I 5.002 1.052 2.172
I 7.657 3.466 5.076
I 3.125 -1.052 6.075
I 9.688 1.052 1.731
I 5.155 -3.466 2.730
I 7.810 -1.052 5.635
I 11.605 1.575 6.223
I 9.535 -3.466 1.173
I 13.482 -1.575 2.320
```


Compound: LaCd6Hg
Source: the Alexandria database
Functional: PBE
Structure: optimized geometry

Values from the calculation:
The formation energy is -0.10 eV per atom. The volume comes out at 208 Å³ per cell.

The structure in extended XYZ format:
```
8
Lattice="6.014 0.000 0.000 -3.007 5.208 0.000 0.000 0.000 6.630" Properties=species:S:1:pos:R:3 pbc="T T T"
La 0.000 0.000 0.000
Cd -1.504 2.604 1.690
Cd -1.504 2.604 4.940
Cd 3.007 0.000 1.690
Cd 3.007 0.000 4.940
Cd 1.504 2.604 1.690
Cd 1.504 2.604 4.940
Hg 0.000 0.000 3.315
```


Compound: Fe2OsSe
Source: the Alexandria database
Functional: PBE
Structure: optimized geometry

Values from the calculation:
The value obtained for the uncorrected formation energy is 286 kJ/mol of formula units. The volume comes out at 144 Å³ per cell.

The structure in extended XYZ format:
```
8
Lattice="-2.638 2.638 5.188 2.638 -2.638 5.188 2.638 2.638 -5.188" Properties=species:S:1:pos:R:3 pbc="T T T"
Fe 3.957 1.301 -1.297
Fe 1.301 1.319 1.297
Fe -1.319 1.337 3.891
Fe 1.337 1.319 6.485
Os 0.000 0.000 0.000
Os 0.000 2.638 2.594
Se 2.638 0.000 2.594
Se 0.000 0.000 5.188
```


Compound: Mg5Cd2Cu2Pd
Source: the Alexandria database
Functional: PBE
Structure: optimized geometry

Values from the calculation:
The formation energy is -0.19 eV per atom. The volume comes out at 382 Å³ per cell.

The structure in extended XYZ format:
```
20
Lattice="10.918 0.000 0.000 0.000 10.918 0.000 0.000 0.000 3.207" Properties=species:S:1:pos:R:3 pbc="T T T"
Mg 0.000 5.459 0.000
Mg 0.550 2.132 0.000
Mg 2.132 10.368 0.000
Mg 3.327 4.909 0.000
Mg 4.909 7.591 0.000
Mg 5.459 0.000 0.000
Mg 6.009 3.327 0.000
Mg 7.591 6.009 0.000
Mg 8.786 0.550 0.000
Mg 10.368 8.786 0.000
Cd 1.953 7.412 1.603
Cd 3.506 1.953 1.603
Cd 7.412 8.965 1.603
Cd 8.965 3.506 1.603
Cu 1.486 3.973 1.603
Cu 3.973 9.432 1.603
Cu 6.945 1.486 1.603
Cu 9.432 6.945 1.603
Pd 0.000 0.000 1.603
Pd 5.459 5.459 1.603
```


Compound: NdScTlBi
Source: the Alexandria database
Functional: PBE
Structure: optimized geometry

Values from the calculation:
The formation energy is -0.36 eV per atom. The volume comes out at 112 Å³ per cell.

The structure in extended XYZ format:
```
4
Lattice="0.000 3.821 3.821 3.821 0.000 3.821 3.821 3.821 0.000" Properties=species:S:1:pos:R:3 pbc="T T T"
Nd 0.000 0.000 0.000
Sc 3.821 3.821 3.821
Tl 1.911 1.911 1.911
Bi 5.732 5.732 5.732
```


Compound: Rb2BeAsF6
Source: the Alexandria database
Functional: PBE
Structure: optimized geometry

Values from the calculation:
The value obtained for the uncorrected formation energy is -2258 kJ/mol of formula units. The volume comes out at 156 Å³ per cell.

The structure in extended XYZ format:
```
10
Lattice="-2.988 2.988 4.370 2.988 -2.988 4.370 2.988 2.988 -4.370" Properties=species:S:1:pos:R:3 pbc="T T T"
Rb 2.988 0.000 2.185
Rb 0.000 2.988 2.185
Be 0.000 0.000 0.000
As 0.000 0.000 4.370
F 1.192 1.192 0.000
F 1.796 -1.796 4.370
F 0.000 0.000 2.374
F 0.000 0.000 6.367
F -1.796 1.796 4.370
F 1.796 1.796 4.370
```


Compound: Ca4Pm3Tl4
Source: the Alexandria database
Functional: PBE
Structure: optimized geometry

Values from the calculation:
The formation energy is -0.25 eV per atom. The volume comes out at 351 Å³ per cell.

The structure in extended XYZ format:
```
11
Lattice="-2.702 3.695 8.789 2.702 -3.695 8.789 2.702 3.695 -8.789" Properties=species:S:1:pos:R:3 pbc="T T T"
Ca 2.702 -1.982 5.613
Ca 0.000 1.714 3.176
Ca 2.702 1.982 5.613
Ca 0.000 5.677 3.176
Pm 2.702 0.000 0.000
Pm 0.000 0.000 7.061
Pm 0.000 0.000 10.517
Tl 2.702 0.000 3.194
Tl 0.000 2.160 0.000
Tl 0.000 5.231 0.000
Tl 0.000 3.695 5.595
```


Compound: Li2CdSb2
Source: the Alexandria database
Functional: PBE
Structure: optimized geometry

Values from the calculation:
The value obtained for the uncorrected formation energy is -132 kJ/mol of formula units. The calculation puts the distance to the lowest polymorph of the same formula at 57 meV per atom. The volume comes out at 227 Å³ per cell.

The structure in extended XYZ format:
```
10
Lattice="8.515 0.000 0.000 0.000 8.515 0.000 0.000 0.000 3.135" Properties=species:S:1:pos:R:3 pbc="T T T"
Li 1.013 3.245 0.000
Li 3.245 7.502 0.000
Li 5.271 1.013 0.000
Li 7.502 5.271 0.000
Cd 0.000 0.000 1.567
Cd 4.258 4.258 1.567
Sb 1.526 5.784 1.567
Sb 2.732 1.526 1.567
Sb 5.784 6.989 1.567
Sb 6.989 2.732 1.567
```